## TlCdAs2 (GGA-PBE)

Data for a geometry-optimized TlCdAs2 structure.

Summary:
The energy above the most stable polymorph in this dataset comes out at 230.3 meV/atom. The value obtained for the size of the total moment is 0.00 μB per atom. As for the formation energy: 1.122 eV per formula unit. Its density of states at the Fermi level is 1.77 states/eV/f.u.

Lattice parameters (Å, degrees): 5.7687 5.7687 5.7687 140.94 128.47 66.51
Positions (direct):
Tl (0.0000, 0.0000, 0.0000)
Cd (0.5000, 0.5000, 0.0000)
As (0.2682, 0.7682, 0.5000)
As (0.7318, 0.2318, 0.5000)


## TlCdAs2 (GGA-PBE)

Data for a geometry-optimized TlCdAs2 structure.

Summary:
The energy above the most stable polymorph in this dataset comes out at 0.0 meV/atom. The value obtained for the size of the total moment is 0.00 μB per atom. As for the formation energy: 0.201 eV per formula unit. Its density of states at the Fermi level is 1.08 states/eV/f.u.

Lattice parameters (Å, degrees): 9.6784 9.6784 9.6784 21.38 21.38 21.38
Positions (direct):
Tl (0.0000, 0.0000, 0.0000)
Cd (0.7595, 0.7595, 0.7595)
As (0.2319, 0.2319, 0.2319)
As (0.5148, 0.5148, 0.5148)


## Tl5Cd4As4 (GGA-PBE)

Data for a geometry-optimized Tl5Cd4As4 structure.

Summary:
The value obtained for the size of the total moment is 0.00 μB per atom. As for the formation energy: -0.653 eV per formula unit. Its density of states at the Fermi level is 1.65 states/eV/f.u.

Lattice parameters (Å, degrees): 9.1780 9.1780 9.1780 93.45 93.45 151.59
Positions (direct):
Tl (0.0000, 0.0000, 0.0000)
Tl (0.3100, 0.3825, 0.6925)
Tl (0.3825, 0.6900, 0.0726)
Tl (0.6175, 0.3100, 0.9274)
Tl (0.6900, 0.6175, 0.3075)
Cd (0.1086, 0.6021, 0.7106)
Cd (0.3979, 0.1086, 0.5065)
Cd (0.6021, 0.8914, 0.4935)
Cd (0.8914, 0.3979, 0.2894)
As (0.0684, 0.2723, 0.3407)
As (0.2723, 0.9316, 0.2039)
As (0.7277, 0.0684, 0.7961)
As (0.9316, 0.7277, 0.6593)


## TlCdAs2 (GGA-PBE)

Data for a geometry-optimized TlCdAs2 structure.

Summary:
The energy above the most stable polymorph in this dataset comes out at 173.4 meV/atom. The value obtained for the size of the total moment is 0.00 μB per atom. As for the formation energy: 0.895 eV per formula unit. Its density of states at the Fermi level is 0.83 states/eV/f.u.

Lattice parameters (Å, degrees): 10.3171 10.3171 10.3171 18.32 18.32 18.32
Positions (direct):
Tl (0.0000, 0.0000, 0.0000)
Cd (0.5000, 0.5000, 0.5000)
As (0.2394, 0.2394, 0.2394)
As (0.7606, 0.7606, 0.7606)


## TlCdAs2 (GGA-PBE)

Data for a geometry-optimized TlCdAs2 structure.

Summary:
The energy above the most stable polymorph in this dataset comes out at 33.0 meV/atom. The value obtained for the size of the total moment is 0.00 μB per atom. As for the formation energy: 0.333 eV per formula unit. Its density of states at the Fermi level is 1.41 states/eV/f.u.

Lattice parameters (Å, degrees): 6.1843 6.1843 5.2864 114.90 114.90 34.85
Positions (direct):
Tl (0.0000, 0.0000, 0.0000)
Cd (0.7990, 0.7990, 0.3724)
As (0.2458, 0.2458, 0.8883)
As (0.6045, 0.6045, 0.5844)


## Tl2CdAs (GGA-PBE)

Data for a geometry-optimized Tl2CdAs structure.

Summary:
The energy above the most stable polymorph in this dataset comes out at 15.7 meV/atom. The value obtained for the size of the total moment is 0.00 μB per atom. As for the formation energy: 0.271 eV per formula unit. Its density of states at the Fermi level is 1.45 states/eV/f.u.

Lattice parameters (Å, degrees): 3.3508 4.4435 7.5248 90.00 101.96 90.00
Positions (direct):
Tl (0.0000, 0.0000, 0.0000)
Tl (0.3341, 0.5000, 0.6802)
Cd (0.7210, 0.0000, 0.4497)
As (0.6126, 0.5000, 0.2277)